[1]
An optimized crystal structure of KMn2Tl, computed with GGA-PBE.

## Properties
Formation energy from the elements: 0.8863 eV/atom
Excess energy over the best structure of this formula in the dataset: 314 meV per atom
Volume: 98.9 Å³/cell
Crystal system: tetragonal

Cell lengths 4.4843, 4.6971, 4.6971 Å; angles 90.00, 90.00, 90.00 degrees
Site moments in Bohr magnetons follow the coordinates.
Fractional coordinates of all 4 atoms:
1 K 0.5000 0.0000 0.5000  -0.02
2 Mn 0.0000 0.0000 0.0000  4.02
3 Mn 0.0000 0.5000 0.5000  4.02
4 Tl 0.5000 0.5000 0.0000  -0.12



[2]
An optimized crystal structure of CaRh2C, computed with GGA-PBE.

## Properties
Formation energy from the elements: 0.1516 eV/atom
Volume: 63.1 Å³/cell
Crystal system: trigonal

Cell lengths 3.2597, 3.2597, 7.1107 Å; angles 76.75, 76.75, 60.00 degrees
Fractional coordinates of all 4 atoms:
1 Ca 0.5000 0.5000 0.5000
2 Rh 0.2847 0.2847 0.1460
3 Rh 0.7153 0.7153 0.8540
4 C 0.0000 0.0000 0.0000



[3]
An optimized crystal structure of CaTcRh, computed with GGA-PBE.

## Properties
Formation energy from the elements: -0.0219 eV/atom
Excess energy over the best structure of this formula in the dataset: 80 meV per atom
Volume: 120.4 Å³/cell
Crystal system: orthorhombic

Cell lengths 5.7662, 5.1287, 6.7637 Å; angles 139.34, 104.41, 89.99 degrees
Fractional coordinates of all 6 atoms:
1 Ca 0.9270 0.0317 0.6785
2 Ca 0.0586 0.0974 0.2442
3 Rh 0.3836 0.7600 0.4068
4 Rh 0.6010 0.3686 0.5154
5 Tc 0.4932 0.0657 0.9615
6 Tc 0.4932 0.5637 0.9615



| no. | N(E_F) (states/eV/atom) | total magnetic moment (Bohr magnetons per cell) |
| --- | --- | --- |
| 1 | 0.54 | 8.2 |
| 2 | 0.27 | 0.0 |
| 3 | 0.88 | 0.0 |